Record 1
A geometry-optimized LiSnHgIr2 structure. Source: Alexandria via LeMat-Bulk, functional PBE.

Cell: 5.0710 5.0710 5.2969 Å, 90.00 90.00 90.00°
Closest atoms and distances in Å follow each position.
Atoms (fractional coordinates):
Li 0.0000 0.0000 0.0000  4 Sn 3.59, 8 Ir 3.67
Sn 0.5000 0.5000 0.0000  2 Hg 2.65
Hg 0.5000 0.5000 0.5000  4 Ir 2.54, 2 Sn 2.65
Ir 0.0000 0.5000 0.5000  2 Hg 2.54
Ir 0.5000 0.0000 0.5000  2 Hg 2.54

Record 2
A geometry-optimized Be2Co3Tc structure. Source: Alexandria via LeMat-Bulk, functional PBE.

Cell: 2.6180 2.6180 8.7300 Å, 90.00 90.00 90.00°
Closest atoms and distances in Å follow each position.
Atoms (fractional coordinates):
Be 0.0000 0.0000 0.1459  8 Co 2.25-2.28
Be 0.0000 0.0000 0.8541  8 Co 2.25-2.28
Co 0.5000 0.5000 0.0000  8 Be 2.25
Co 0.5000 0.5000 0.2982  4 Be 2.28
Co 0.5000 0.5000 0.7018  4 Be 2.28
Tc 0.0000 0.0000 0.5000  8 Co 2.56, 4 Tc 2.62

no.,E_tot (eV per cell)
1,-16.3
2,-40.4